(1)
This record from Alexandria describes an optimized crystal structure of Mn3TcO. The functional is PBE with a Hubbard U.

Calculated values
* electronic total energy: -6.06 eV/atom
* magnetization: 12.069 μB per formula unit
* energy relative to the lowest polymorph listed for this composition: 1377 meV per atom
* Fermi-level density of states: 0.972 states/eV per atom

Cell lengths 4.942, 4.942, 4.942 Å; angles 90.00, 90.00, 90.00 degrees
Fractional positions:
Mn  0.000  0.000  0.500
Mn  0.000  0.500  0.000
Mn  0.500  0.000  0.000
Tc  0.000  0.000  0.000
O  0.500  0.500  0.500

(2)
This record from Alexandria describes an optimized crystal structure of MnTcTeO6. The functional is PBE with a Hubbard U.

Calculated values
* electronic total energy: -6.89 eV/atom
* magnetization: 6.000 μB per formula unit
* Fermi-level density of states: 0.414 states/eV per atom

Cell lengths 5.315, 5.315, 9.193 Å; angles 90.00, 90.00, 120.00 degrees
Fractional positions:
Mn  0.000  0.000  0.000
Mn  0.000  0.000  0.500
Tc  0.333  0.667  0.250
Tc  0.667  0.333  0.750
Te  0.333  0.667  0.750
Te  0.667  0.333  0.250
O  0.013  0.360  0.135
O  0.013  0.653  0.365
O  0.347  0.360  0.365
O  0.347  0.987  0.135
O  0.360  0.013  0.635
O  0.360  0.347  0.865
O  0.640  0.653  0.135
O  0.640  0.987  0.365
O  0.653  0.013  0.865
O  0.653  0.640  0.635
O  0.987  0.347  0.635
O  0.987  0.640  0.865

(3)
This record from Alexandria describes an optimized crystal structure of TiMnTcO6. The functional is PBE with a Hubbard U.

Calculated values
* electronic total energy: -8.09 eV/atom
* magnetization: 6.035 μB per formula unit
* Fermi-level density of states: 0.368 states/eV per atom

Cell lengths 5.084, 5.084, 9.242 Å; angles 90.00, 90.00, 120.00 degrees
Fractional positions:
Ti  0.333  0.667  0.250
Ti  0.667  0.333  0.750
Mn  0.000  0.000  0.000
Mn  0.000  0.000  0.500
Tc  0.333  0.667  0.750
Tc  0.667  0.333  0.250
O  0.004  0.356  0.635
O  0.004  0.648  0.865
O  0.352  0.356  0.865
O  0.352  0.996  0.635
O  0.356  0.004  0.135
O  0.356  0.352  0.365
O  0.644  0.648  0.635
O  0.644  0.996  0.865
O  0.648  0.004  0.365
O  0.648  0.644  0.135
O  0.996  0.352  0.135
O  0.996  0.644  0.365

(4)
This record from Alexandria describes an optimized crystal structure of MnTlTc2O8. The functional is PBE with a Hubbard U.

Calculated values
* electronic total energy: -7.26 eV/atom
* magnetization: 3.942 μB per formula unit
* Fermi-level density of states: 0.474 states/eV per atom

Cell lengths 5.589, 5.589, 8.055 Å; angles 92.04, 92.04, 64.34 degrees
Fractional positions:
Mn  0.000  0.000  0.000
Tl  0.000  0.000  0.500
Tc  0.362  0.362  0.217
Tc  0.638  0.638  0.783
O  0.217  0.217  0.074
O  0.219  0.711  0.188
O  0.289  0.781  0.812
O  0.304  0.304  0.420
O  0.696  0.696  0.580
O  0.711  0.219  0.188
O  0.781  0.289  0.812
O  0.783  0.783  0.926

(5)
This record from Alexandria describes an optimized crystal structure of Mn2Tl2TcO6. The functional is PBE with a Hubbard U.

Calculated values
* electronic total energy: -6.65 eV/atom
* magnetization: 11.001 μB per formula unit
* Fermi-level density of states: 0.293 states/eV per atom

Cell lengths 5.506, 5.506, 6.664 Å; angles 97.62, 97.62, 119.86 degrees
Fractional positions:
Mn  0.164  0.836  0.000
Mn  0.836  0.164  0.000
Tl  0.332  0.668  0.500
Tl  0.668  0.332  0.500
Tc  0.500  0.500  0.000
O  0.143  0.448  0.839
O  0.255  0.255  0.173
O  0.448  0.143  0.839
O  0.552  0.857  0.161
O  0.745  0.745  0.827
O  0.857  0.552  0.161

(6)
This record from Alexandria describes an optimized crystal structure of TmMnTc2O8. The functional is PBE with a Hubbard U.

Calculated values
* electronic total energy: -7.77 eV/atom
* magnetization: 8.005 μB per formula unit
* Fermi-level density of states: 0.617 states/eV per atom

Cell lengths 5.905, 5.905, 6.212 Å; angles 90.00, 90.00, 120.00 degrees
Fractional positions:
Tm  0.000  0.000  0.000
Mn  0.000  0.000  0.500
Tc  0.333  0.667  0.325
Tc  0.667  0.333  0.675
O  0.159  0.318  0.243
O  0.159  0.841  0.243
O  0.318  0.159  0.757
O  0.333  0.667  0.605
O  0.667  0.333  0.395
O  0.682  0.841  0.243
O  0.841  0.159  0.757
O  0.841  0.682  0.757